1.
HoTm2Zn6: relaxed, PBE.

Cell lengths 7.7035, 7.7035, 3.4498 Å; angles 90.00, 90.00, 120.00 degrees
With the nearest neighbours (Å) after each atom.
Sites, in units of the cell vectors:
Ho1 0.0000 0.0000 0.0000  12 Zn 3.10, 2 Ho 3.45
Tm1 0.3333 0.6667 0.0000  12 Zn 3.09, 2 Tm 3.45
Tm2 0.6667 0.3333 0.0000  12 Zn 3.09, 2 Tm 3.45
Zn1 0.0000 0.3341 0.5000  3 Zn 2.56-2.57
Zn2 0.0000 0.6659 0.5000  3 Zn 2.56-2.57
Zn3 0.3341 0.0000 0.5000  3 Zn 2.56-2.57
Zn4 0.3341 0.3341 0.5000  3 Zn 2.56-2.57
Zn5 0.6659 0.0000 0.5000  3 Zn 2.56-2.57
Zn6 0.6659 0.6659 0.5000  3 Zn 2.56-2.57

The energy of formation from the pure elements is -37 kJ/mol of atoms. Its raw total energy is -0.10043 Ha/atom. As for the density of states at the Fermi level: 5.5 states/eV/cell.

2.
Ho2Tm6Zn: relaxed, PBE.

Cell lengths 9.8161, 9.9884, 5.2482 Å; angles 90.00, 90.00, 90.00 degrees
With the nearest neighbours (Å) after each atom.
Sites, in units of the cell vectors:
Ho1 0.2058 0.2264 0.0000  10 Tm 3.23-3.51
Ho2 0.2942 0.7264 0.5000  10 Tm 3.23-3.51
Ho3 0.7058 0.2736 0.5000  10 Tm 3.23-3.51
Ho4 0.7942 0.7736 0.0000  10 Tm 3.23-3.51
Tm1 0.0321 0.3169 0.5000  1 Zn 3.18, 3 Ho 3.23-3.26, 1 Tm 3.41
Tm2 0.1271 0.8840 0.0000  2 Zn 3.13, 3 Tm 3.36-3.41, 3 Ho 3.45-3.47
Tm3 0.1832 0.5521 0.0000  1 Zn 3.15, 3 Ho 3.26-3.33, 1 Tm 3.36
Tm4 0.3168 0.0521 0.5000  1 Zn 3.15, 3 Ho 3.26-3.33, 1 Tm 3.36
Tm5 0.3729 0.3840 0.5000  2 Zn 3.13, 3 Tm 3.36-3.41, 3 Ho 3.45-3.47
Tm6 0.4679 0.8169 0.0000  1 Zn 3.18, 3 Ho 3.23-3.26, 1 Tm 3.41
Tm7 0.5321 0.1831 0.0000  1 Zn 3.18, 3 Ho 3.23-3.26, 1 Tm 3.41
Tm8 0.6271 0.6160 0.5000  2 Zn 3.13, 3 Tm 3.36-3.41, 3 Ho 3.45-3.47
Tm9 0.6832 0.9479 0.5000  1 Zn 3.15, 3 Ho 3.26-3.33, 1 Tm 3.36
Tm10 0.8168 0.4479 0.0000  1 Zn 3.15, 3 Ho 3.26-3.33, 1 Tm 3.36
Tm11 0.8729 0.1160 0.0000  2 Zn 3.13, 3 Tm 3.36-3.41, 3 Ho 3.45-3.47
Tm12 0.9679 0.6831 0.5000  1 Zn 3.18, 3 Ho 3.23-3.26, 1 Tm 3.41
Zn1 0.0000 0.0000 0.5000  8 Tm 3.13-3.18
Zn2 0.5000 0.5000 0.0000  8 Tm 3.13-3.18

The energy of formation from the pure elements is 3 kJ/mol of atoms. Its raw total energy is -0.15090 Ha/atom. As for the density of states at the Fermi level: 29.4 states/eV/cell.

3.
Ho3TmZn2: relaxed, PBE.

Cell lengths 4.9891, 9.0031, 6.6992 Å; angles 90.00, 90.00, 90.00 degrees
With the nearest neighbours (Å) after each atom.
Sites, in units of the cell vectors:
Ho1 0.0000 0.0552 0.0000  3 Zn 3.01-3.09
Ho2 0.0000 0.3271 0.3467  4 Zn 2.93-3.04
Ho3 0.0000 0.6729 0.8467  4 Zn 2.93-3.04
Ho4 0.0000 0.9448 0.5000  3 Zn 3.01-3.09
Ho5 0.5000 0.1760 0.6841  4 Zn 2.96-3.03
Ho6 0.5000 0.8240 0.1841  4 Zn 2.96-3.03
Tm1 0.5000 0.4448 0.0323  3 Zn 3.00-3.09
Tm2 0.5000 0.5552 0.5323  3 Zn 3.00-3.09
Zn1 0.0000 0.3504 0.7903  5 Ho 2.93-3.03, 2 Tm 3.09
Zn2 0.0000 0.6496 0.2903  5 Ho 2.93-3.03, 2 Tm 3.09
Zn3 0.5000 0.1502 0.2418  6 Ho 2.96-3.09, 1 Tm 3.00
Zn4 0.5000 0.8498 0.7418  6 Ho 2.96-3.09, 1 Tm 3.00

The energy of formation from the pure elements is -23 kJ/mol of atoms. Its raw total energy is -0.13578 Ha/atom. As for the density of states at the Fermi level: 6.6 states/eV/cell.

4.
Ho3TmZn2: relaxed, PBE.

Cell lengths 3.5468, 3.5468, 12.0476 Å; angles 90.00, 90.00, 90.00 degrees
With the nearest neighbours (Å) after each atom.
Sites, in units of the cell vectors:
Ho1 0.0000 0.0000 0.0000  8 Zn 3.06
Ho2 0.0000 0.0000 0.2922  4 Zn 3.07
Ho3 0.0000 0.0000 0.7078  4 Zn 3.07
Tm1 0.5000 0.5000 0.5000  8 Ho 3.54, 4 Tm 3.55
Zn1 0.5000 0.5000 0.1459  8 Ho 3.06-3.07
Zn2 0.5000 0.5000 0.8541  8 Ho 3.06-3.07

The energy of formation from the pure elements is -21 kJ/mol of atoms. Its raw total energy is -0.13525 Ha/atom. As for the density of states at the Fermi level: 6.2 states/eV/cell.

> Look up the energy of formation from the pure elements of the second one.

3 kJ/mol of atoms

> Which value of energy of formation from the pure elements does entry 3 give?

-23 kJ/mol of atoms

> Among the records above, which one has the highest energy of formation from the pure elements?

Ho2Tm6Zn